# SnB2As, optimized geometry, DFT GGA-PBE
# Space-group type   Fm-3m, No. 225
# Excess energy over the best structure of this formula in the dataset   1.088 eV/atom
data_SnB2As
_cell_length_a 4.342
_cell_length_b 4.342
_cell_length_c 4.342
_cell_angle_alpha 60.00
_cell_angle_beta 60.00
_cell_angle_gamma 60.00
_space_group_name_H-M_alt 'P 1'
_space_group_IT_number 1
_space_group_name_Hall 'P 1'
loop_
_atom_site_label
_atom_site_fract_x
_atom_site_fract_y
_atom_site_fract_z
Sn1 0.000 0.000 0.000
B1 0.250 0.250 0.250
B2 0.750 0.750 0.750
As1 0.500 0.500 0.500

=====

# NaDy3Ir, optimized geometry, DFT GGA-PBE
# E_tot   -5.065 eV per atom
# Space-group type   Pm-3m, No. 221
data_NaDy3Ir
_cell_length_a 5.467
_cell_length_b 5.467
_cell_length_c 5.467
_cell_angle_alpha 90.00
_cell_angle_beta 90.00
_cell_angle_gamma 90.00
_space_group_name_H-M_alt 'P 1'
_space_group_IT_number 1
_space_group_name_Hall 'P 1'
loop_
_atom_site_label
_atom_site_fract_x
_atom_site_fract_y
_atom_site_fract_z
Na1 0.000 0.000 0.000
Dy1 0.000 0.500 0.500
Dy2 0.500 0.000 0.500
Dy3 0.500 0.500 0.000
Ir1 0.500 0.500 0.500

=====

# Y2MnPb, optimized geometry, DFT GGA-PBE
# E_tot   -6.520 eV per atom
# Space-group type   Imm2, No. 44
data_Y2MnPb
_cell_length_a 6.369
_cell_length_b 6.369
_cell_length_c 6.369
_cell_angle_alpha 146.92
_cell_angle_beta 132.63
_cell_angle_gamma 58.99
_space_group_name_H-M_alt 'P 1'
_space_group_IT_number 1
_space_group_name_Hall 'P 1'
loop_
_atom_site_label
_atom_site_fract_x
_atom_site_fract_y
_atom_site_fract_z
Y1 0.000 0.000 0.000
Y2 0.717 0.217 0.500
Mn1 0.481 0.481 0.000
Pb1 0.276 0.776 0.500

=====

# TaBi2Ir, optimized geometry, DFT GGA-PBE
# Space-group type   I-42d, No. 122
# Excess energy over the best structure of this formula in the dataset   0.544 eV/atom
data_TaBi2Ir
_cell_length_a 7.497
_cell_length_b 7.497
_cell_length_c 7.497
_cell_angle_alpha 128.79
_cell_angle_beta 128.79
_cell_angle_gamma 75.35
_space_group_name_H-M_alt 'P 1'
_space_group_IT_number 1
_space_group_name_Hall 'P 1'
loop_
_atom_site_label
_atom_site_fract_x
_atom_site_fract_y
_atom_site_fract_z
Ta1 0.000 0.000 0.000
Ta2 0.750 0.250 0.500
Bi1 0.145 0.625 0.020
Bi2 0.375 0.395 0.520
Bi3 0.605 0.125 0.980
Bi4 0.875 0.855 0.480
Ir1 0.250 0.750 0.500
Ir2 0.500 0.500 0.000

=====

# Pm5SnGe2, optimized geometry, DFT GGA-PBE
# E_tot   -5.344 eV per atom
# Space-group type   I4/mcm, No. 140
data_Pm5SnGe2
_cell_length_a 9.064
_cell_length_b 9.064
_cell_length_c 9.064
_cell_angle_alpha 127.40
_cell_angle_beta 127.40
_cell_angle_gamma 77.61
_space_group_name_H-M_alt 'P 1'
_space_group_IT_number 1
_space_group_name_Hall 'P 1'
loop_
_atom_site_label
_atom_site_fract_x
_atom_site_fract_y
_atom_site_fract_z
Pm1 0.000 0.000 0.000
Pm2 0.022 0.522 0.827
Pm3 0.195 0.022 0.500
Pm4 0.305 0.805 0.827
Pm5 0.478 0.305 0.500
Pm6 0.500 0.500 0.000
Pm7 0.522 0.695 0.500
Pm8 0.695 0.195 0.173
Pm9 0.805 0.978 0.500
Pm10 0.978 0.478 0.173
Sn1 0.250 0.250 0.000
Sn2 0.750 0.750 0.000
Ge1 0.138 0.362 0.500
Ge2 0.362 0.862 0.224
Ge3 0.638 0.138 0.776
Ge4 0.862 0.638 0.500

=====

# Cu2HgPb2, optimized geometry, DFT GGA-PBE
# Space-group type   I4/mmm, No. 139
# Excess energy over the best structure of this formula in the dataset   0.026 eV/atom
data_Cu2HgPb2
_cell_length_a 9.620
_cell_length_b 9.620
_cell_length_c 9.620
_cell_angle_alpha 158.89
_cell_angle_beta 158.89
_cell_angle_gamma 30.03
_space_group_name_H-M_alt 'P 1'
_space_group_IT_number 1
_space_group_name_Hall 'P 1'
loop_
_atom_site_label
_atom_site_fract_x
_atom_site_fract_y
_atom_site_fract_z
Cu1 0.250 0.750 0.500
Cu2 0.750 0.250 0.500
Hg1 0.000 0.000 0.000
Pb1 0.374 0.374 0.000
Pb2 0.626 0.626 0.000